# ZnCdSnGe (GGA-PBE, optimized geometry)
# Crystal system = cubic
# Energy of formation from the pure elements = 0.7 eV per formula unit
# Total moment = 0.00 μB per atom
# Total energy = -40.36 eV for the cell shown
# D(E_F) = 1.25 states/eV/f.u.
data_ZnCdSnGe
_cell_length_a 7.078
_cell_length_b 7.078
_cell_length_c 7.078
_cell_angle_alpha 90.00
_cell_angle_beta 90.00
_cell_angle_gamma 90.00
_symmetry_space_group_name_H-M 'F -4 3 m'
_symmetry_Int_Tables_number 216
_symmetry_space_group_name_Hall 'F -4 2 3'
loop_
_atom_site_label
_atom_site_fract_x
_atom_site_fract_y
_atom_site_fract_z
_atom_site_occupancy
Zn1 0.000 0.000 0.000 1
Cd1 0.250 0.250 0.750 1
Sn1 0.250 0.250 0.250 1
Ge1 0.000 0.000 0.500 1

# SrCdGe3 (GGA-PBE, optimized geometry)
# Crystal system = cubic
# Energy of formation from the pure elements = 1.4 eV per formula unit
# Total moment = 0.00 μB per atom
# Total energy = -15.00 eV for the cell shown
# ΔE to the lowest computed polymorph = 0.000 eV/atom
# D(E_F) = 3.76 states/eV/f.u.
data_SrCdGe3
_cell_length_a 5.244
_cell_length_b 5.244
_cell_length_c 5.244
_cell_angle_alpha 90.00
_cell_angle_beta 90.00
_cell_angle_gamma 90.00
_symmetry_space_group_name_H-M 'P m -3 m'
_symmetry_Int_Tables_number 221
_symmetry_space_group_name_Hall '-P 4 2 3'
loop_
_atom_site_label
_atom_site_fract_x
_atom_site_fract_y
_atom_site_fract_z
_atom_site_occupancy
Sr1 0.000 0.000 0.000 1
Cd1 0.500 0.500 0.500 1
Ge1 0.000 0.500 0.500 1

# Sr2CdGe2 (GGA-PBE, optimized geometry)
# Crystal system = tetragonal
# Energy of formation from the pure elements = -1.0 eV per formula unit
# Total moment = 0.00 μB per atom
# Total energy = -28.94 eV for the cell shown
# D(E_F) = 4.85 states/eV/f.u.
data_Sr2CdGe2
_cell_length_a 6.241
_cell_length_b 6.241
_cell_length_c 8.235
_cell_angle_alpha 90.00
_cell_angle_beta 90.00
_cell_angle_gamma 90.00
_symmetry_space_group_name_H-M 'I 4/m m m'
_symmetry_Int_Tables_number 139
_symmetry_space_group_name_Hall '-I 4 2'
loop_
_atom_site_label
_atom_site_fract_x
_atom_site_fract_y
_atom_site_fract_z
_atom_site_occupancy
Sr1 0.000 0.500 0.250 1
Cd1 0.000 0.000 0.000 1
Ge1 0.000 0.000 0.348 1